# Pm5SmSc3 GGA-PBE relaxed
# Formation energy: 437.4 meV/atom
data_Pm5SmSc3
_chemical_formula_sum 'Pm20 Sm4 Sc12'
_cell_length_a 14.755
_cell_length_b 11.405
_cell_length_c 9.624
_cell_angle_alpha 90.00
_cell_angle_beta 129.64
_cell_angle_gamma 90.00
_symmetry_space_group_name_H-M 'C 1 2/m 1'
_symmetry_Int_Tables_number 12
_symmetry_space_group_name_Hall '-C 2y'
loop_
_atom_site_label
_atom_site_type_symbol
_atom_site_fract_x
_atom_site_fract_y
_atom_site_fract_z
_atom_site_occupancy
Pm1 Pm 0.000 0.247 0.000 1
Pm2 Pm 0.135 0.247 0.737 1
Pm3 Pm 0.229 0.000 0.235 1
Pm4 Pm 0.247 0.000 0.585 1
Sm1 Sm 0.224 0.500 0.046 1
Sc1 Sc 0.000 0.000 0.500 1
Sc2 Sc 0.000 0.500 0.000 1
Sc3 Sc 0.006 0.000 0.824 1
Sc4 Sc 0.014 0.500 0.355 1